No. 1
First-principles (PBE) data for a geometry-optimized AgAsN2F structure, as listed in Alexandria.

Lattice parameters (Å, degrees): 4.134 4.134 4.094 90.00 90.00 90.00
Fractional positions:
As  0.500  0.500  0.500
N  0.000  0.500  0.000
N  0.500  0.000  0.000
Ag  0.000  0.000  0.000
F  0.000  0.000  0.500

* mass density: 5.5 g/cm³
* electronic total energy: -3.745 eV per atom
* space group: P4/mmm, No. 123
* E_form (uncorrected): 1460 meV per atom

***

No. 2
First-principles (PBE) data for a geometry-optimized AgAsN2F structure, as listed in Alexandria.

Lattice parameters (Å, degrees): 3.792 3.792 4.256 90.00 90.00 90.00
Fractional positions:
As  0.000  0.000  0.000
N  0.000  0.500  0.000
N  0.500  0.000  0.000
Ag  0.500  0.500  0.500
F  0.000  0.000  0.500

* mass density: 6.2 g/cm³
* electronic total energy: -4.517 eV per atom
* space group: P4/mmm, No. 123
* E_form (uncorrected): 688 meV per atom

***

No. 3
First-principles (PBE) data for a geometry-optimized AgAsNF2 structure, as listed in Alexandria.

Lattice parameters (Å, degrees): 4.342 4.342 3.693 90.00 90.00 90.00
Fractional positions:
As  0.000  0.000  0.000
N  0.000  0.000  0.500
Ag  0.500  0.500  0.500
F  0.000  0.500  0.000
F  0.500  0.000  0.000

* mass density: 5.6 g/cm³
* electronic total energy: -4.254 eV per atom
* space group: P4/mmm, No. 123
* E_form (uncorrected): -340 meV per atom

***

No. 4
First-principles (PBE) data for a geometry-optimized AgAsNF2 structure, as listed in Alexandria.

Lattice parameters (Å, degrees): 4.202 4.202 4.176 90.00 90.00 90.00
Fractional positions:
As  0.500  0.500  0.500
N  0.000  0.000  0.500
Ag  0.000  0.000  0.000
F  0.000  0.500  0.000
F  0.500  0.000  0.000

* mass density: 5.3 g/cm³
* electronic total energy: -3.453 eV per atom
* space group: P4/mmm, No. 123
* E_form (uncorrected): 460 meV per atom

***

No. 5
First-principles (PBE) data for a geometry-optimized NaAg2AsF8 structure, as listed in Alexandria.

Lattice parameters (Å, degrees): 5.111 5.111 8.214 90.00 90.00 120.00
Fractional positions:
Na  0.000  0.000  0.500
Ag  0.667  0.333  0.289
Ag  0.333  0.667  0.711
As  0.000  0.000  0.000
F  0.839  0.678  0.872
F  0.322  0.161  0.872
F  0.839  0.161  0.872
F  0.161  0.322  0.128
F  0.678  0.839  0.128
F  0.161  0.839  0.128
F  0.667  0.333  0.551
F  0.333  0.667  0.449

* mass density: 4.2 g/cm³
* electronic total energy: -3.909 eV per atom
* space group: P-3m1, No. 164
* E_form (uncorrected): -1689 meV per atom

***

No. 6
First-principles (PBE) data for a geometry-optimized Na2AgAsF6 structure, as listed in Alexandria.

Lattice parameters (Å, degrees): 6.245 6.245 6.245 60.00 60.00 60.00
Fractional positions:
Na  0.750  0.750  0.750
Na  0.250  0.250  0.250
Ag  0.500  0.500  0.500
As  0.000  0.000  0.000
F  0.232  0.768  0.232
F  0.768  0.232  0.232
F  0.768  0.232  0.768
F  0.232  0.232  0.768
F  0.768  0.768  0.232
F  0.232  0.768  0.768

* mass density: 3.3 g/cm³
* electronic total energy: -4.120 eV per atom
* space group: Fm-3m, No. 225
* E_form (uncorrected): -1984 meV per atom

***

Copy entry 3 word for word.
First-principles (PBE) data for a geometry-optimized AgAsNF2 structure, as listed in Alexandria.

Lattice parameters (Å, degrees): 4.342 4.342 3.693 90.00 90.00 90.00
Fractional positions:
As  0.000  0.000  0.000
N  0.000  0.000  0.500
Ag  0.500  0.500  0.500
F  0.000  0.500  0.000
F  0.500  0.000  0.000

* mass density: 5.6 g/cm³
* electronic total energy: -4.254 eV per atom
* space group: P4/mmm, No. 123
* E_form (uncorrected): -340 meV per atom